# GeAs2F

GeAs2F at its PBEsol-relaxed geometry (meta-GGA SCAN, the Alexandria database).

Results
ρ: 6.5 g cm⁻³
formation energy (no corrections): -220 meV/atom
relative energy among the computed polymorphs: 0.0 meV per atom
total energy: -15.972 eV/atom

The structure in CIF format:
```
data_GeAs2F
_symmetry_space_group_name_H-M 'F m -3 m'
_symmetry_Int_Tables_number 225
_symmetry_space_group_name_Hall '-F 4 2 3'
_cell_length_a 6.278
_cell_length_b 6.278
_cell_length_c 6.278
_cell_angle_alpha 90.00
_cell_angle_beta 90.00
_cell_angle_gamma 90.00
loop_
_atom_site_label
_atom_site_fract_x
_atom_site_fract_y
_atom_site_fract_z
Ge1 0.000 0.000 0.000
As1 0.250 0.250 0.250
F1 0.000 0.000 0.500
```